## Rb3Cd5Au6 (PBE-GGA)

Data for Rb3Cd5Au6 after structural relaxation.

Cell: 4.908 14.082 11.585 Å, 90.00 90.00 90.00°
Atoms (fractional coordinates):
Rb 0.250 0.095 0.246
Rb 0.250 0.405 0.246
Rb 0.250 0.750 0.251
Rb 0.750 0.250 0.749
Rb 0.750 0.595 0.754
Rb 0.750 0.905 0.754
Cd 0.250 0.080 0.648
Cd 0.250 0.420 0.648
Cd 0.250 0.619 0.992
Cd 0.250 0.750 0.591
Cd 0.250 0.881 0.992
Cd 0.750 0.119 0.008
Cd 0.750 0.250 0.409
Cd 0.750 0.381 0.008
Cd 0.750 0.580 0.352
Cd 0.750 0.920 0.352
Au 0.250 0.068 0.888
Au 0.250 0.250 0.519
Au 0.250 0.250 0.991
Au 0.250 0.432 0.888
Au 0.250 0.567 0.483
Au 0.250 0.933 0.483
Au 0.750 0.067 0.517
Au 0.750 0.433 0.517
Au 0.750 0.568 0.112
Au 0.750 0.750 0.009
Au 0.750 0.750 0.481
Au 0.750 0.932 0.112

Results
SG = Pmmn
ΔH_f (0 K) = -0.183 eV per atom
Energy = -2.121 eV per atom